PBE+U YWO2, relaxed; SG = No. 225; DOS(E_F) = 17.03 states/eV per cell; V = 12.952 Å³/atom; energy above the most stable polymorph in this dataset = 1021.9 meV/atom
1.0
5.918 0.000 0.000
0.000 5.918 0.000
0.000 0.000 5.918
Y W O
4 4 8
direct
0.000 0.000 0.000 Y
0.000 0.500 0.500 Y
0.500 0.000 0.500 Y
0.500 0.500 0.000 Y
0.000 0.000 0.500 W
0.000 0.500 0.000 W
0.500 0.000 0.000 W
0.500 0.500 0.500 W
0.250 0.250 0.250 O
0.250 0.250 0.750 O
0.250 0.750 0.250 O
0.250 0.750 0.750 O
0.750 0.250 0.250 O
0.750 0.250 0.750 O
0.750 0.750 0.250 O
0.750 0.750 0.750 O

PBE+U Y2W2O9, relaxed; SG = No. 2; DOS(E_F) = 0.00 states/eV per cell; V = 12.938 Å³/atom; energy above the most stable polymorph in this dataset = 42.7 meV/atom
1.0
6.734 0.000 0.000
0.901 7.095 0.000
0.736 2.361 7.041
Y W O
4 4 18
direct
0.112 0.299 0.371 Y
0.345 0.737 0.848 Y
0.655 0.263 0.152 Y
0.888 0.701 0.629 Y
0.234 0.261 0.948 W
0.340 0.796 0.369 W
0.660 0.204 0.631 W
0.766 0.739 0.052 W
0.003 0.754 0.903 O
0.134 0.642 0.378 O
0.175 0.489 0.750 O
0.183 0.904 0.548 O
0.232 0.054 0.857 O
0.320 0.431 0.090 O
0.352 0.071 0.221 O
0.455 0.300 0.471 O
0.463 0.742 0.140 O
0.537 0.258 0.860 O
0.545 0.700 0.529 O
0.648 0.929 0.779 O
0.680 0.569 0.910 O
0.768 0.946 0.143 O
0.817 0.096 0.452 O
0.825 0.511 0.250 O
0.866 0.358 0.622 O
0.997 0.246 0.097 O

PBE+U YW2O8, relaxed; SG = No. 139; DOS(E_F) = 3.07 states/eV per cell; V = 11.878 Å³/atom
1.0
-2.428 2.428 5.542
2.428 -2.428 5.542
2.428 2.428 -5.542
Y W O
1 2 8
direct
0.000 0.000 0.000 Y
0.250 0.750 0.500 W
0.750 0.250 0.500 W
0.103 0.103 0.496 O
0.103 0.607 0.000 O
0.393 0.393 0.496 O
0.393 0.897 0.000 O
0.607 0.103 0.000 O
0.607 0.607 0.504 O
0.897 0.393 0.000 O
0.897 0.897 0.504 O

PBE+U Y3WO6, relaxed; SG = No. 36; V = 14.259 Å³/atom
1.0
4.471 -5.588 0.000
4.471 5.588 0.000
0.000 0.000 5.707
Y W O
6 2 12
direct
0.100 0.900 0.500 Y
0.196 0.407 0.451 Y
0.407 0.196 0.951 Y
0.593 0.804 0.451 Y
0.804 0.593 0.951 Y
0.900 0.100 0.000 Y
0.308 0.692 0.937 W
0.692 0.308 0.437 W
0.076 0.605 0.705 O
0.141 0.177 0.724 O
0.177 0.141 0.224 O
0.286 0.714 0.273 O
0.395 0.924 0.705 O
0.458 0.542 0.698 O
0.542 0.458 0.198 O
0.605 0.076 0.205 O
0.714 0.286 0.773 O
0.823 0.859 0.724 O
0.859 0.823 0.224 O
0.924 0.395 0.205 O

PBE+U YW3O8, relaxed; SG = No. 2; DOS(E_F) = 0.00 states/eV per cell; V = 12.432 Å³/atom; energy above the most stable polymorph in this dataset = 73.0 meV/atom
1.0
5.219 0.000 0.000
-0.389 5.430 0.000
-1.922 -2.442 5.265
Y W O
1 3 8
direct
0.000 0.000 0.000 Y
0.238 0.799 0.493 W
0.500 0.500 0.000 W
0.762 0.201 0.507 W
0.141 0.167 0.725 O
0.250 0.483 0.219 O
0.250 0.699 0.768 O
0.365 0.023 0.314 O
0.635 0.977 0.686 O
0.750 0.301 0.232 O
0.750 0.517 0.781 O
0.859 0.833 0.275 O

PBE+U YWO2, relaxed; SG = No. 122; DOS(E_F) = 5.78 states/eV per cell; V = 16.573 Å³/atom; energy above the most stable polymorph in this dataset = 450.8 meV/atom
1.0
5.116 0.000 0.000
0.000 5.116 0.000
0.000 0.000 10.132
Y W O
4 4 8
direct
0.000 0.000 0.000 Y
0.000 0.500 0.250 Y
0.500 0.000 0.750 Y
0.500 0.500 0.500 Y
0.000 0.000 0.500 W
0.000 0.500 0.750 W
0.500 0.000 0.250 W
0.500 0.500 0.000 W
0.241 0.250 0.625 O
0.250 0.741 0.875 O
0.250 0.759 0.375 O
0.259 0.250 0.125 O
0.741 0.750 0.125 O
0.750 0.241 0.375 O
0.750 0.259 0.875 O
0.759 0.750 0.625 O

no.,E (eV/atom)
1,-6.88
2,-8.14
3,-7.32
4,-8.56
5,-7.87
6,-7.45